Record 1
## GdH3 (PBEsol)

Data for a relaxed structure of GdH3.

The structure in extended XYZ format:
```
8
Lattice="3.662 0.000 0.000 -1.831 3.171 0.000 0.000 0.000 6.533" Properties=species:S:1:pos:R:3 pbc="T T T"
Gd 0.000 2.114 1.633
Gd 1.831 1.057 4.900
H 0.000 0.000 1.633
H 0.000 0.000 4.900
H 0.000 2.114 3.897
H 0.000 2.114 5.902
H 1.831 1.057 0.631
H 1.831 1.057 2.636
```

Output
Raw total energy   -6.715 eV/atom
Symmetry   P6_3/mmc (194)
Calculated density   7.0 g/cm3
N(E_F)   0.053 states/eV per atom


Record 2
## GdH2 (PBEsol)

Data for a relaxed structure of GdH2.

The structure in extended XYZ format:
```
12
Lattice="5.206 0.000 0.000 0.000 5.206 0.000 0.000 0.000 5.206" Properties=species:S:1:pos:R:3 pbc="T T T"
Gd 0.000 0.000 0.000
Gd 0.000 2.603 2.603
Gd 2.603 0.000 2.603
Gd 2.603 2.603 0.000
H 1.302 1.302 1.302
H 1.302 1.302 3.905
H 1.302 3.905 1.302
H 1.302 3.905 3.905
H 3.905 1.302 1.302
H 3.905 1.302 3.905
H 3.905 3.905 1.302
H 3.905 3.905 3.905
```

Output
Raw total energy   -7.727 eV/atom
Symmetry   Fm-3m (225)
Calculated density   7.5 g/cm3
N(E_F)   0.292 states/eV per atom


Record 3
## GdH3 (PBEsol)

Data for a relaxed structure of GdH3.

The structure in extended XYZ format:
```
24
Lattice="6.316 0.000 0.000 -3.158 5.470 0.000 0.000 0.000 6.515" Properties=species:S:1:pos:R:3 pbc="T T T"
Gd -1.059 1.835 1.629
Gd -2.099 3.635 4.886
Gd 2.119 0.000 1.629
Gd 1.059 1.835 4.886
Gd 4.197 0.000 4.886
Gd 2.099 3.635 1.629
H 0.000 0.000 1.629
H 0.000 0.000 4.886
H -0.957 1.880 5.893
H -2.008 3.701 2.636
H 0.957 1.880 2.636
H -1.051 5.358 5.893
H 0.000 3.646 1.153
H 0.000 3.646 4.410
H 2.107 0.112 3.879
H 1.150 1.769 0.622
H 2.008 3.701 5.893
H 1.051 5.358 2.636
H 3.158 1.823 2.104
H 3.158 1.823 5.362
H 4.209 0.112 0.622
H 2.201 3.589 3.879
H 5.166 1.769 3.879
H 4.115 3.589 0.622
```

Output
Raw total energy   -6.721 eV/atom
Symmetry   P-3c1 (165)
Calculated density   7.1 g/cm3
N(E_F)   0.021 states/eV per atom


Total moment for every record listed, in sequence, given in μB per cell: 13.97, 28.39, 41.99.